The following is a DFT calculation (PBE) of Ac3In5O12 after structural relaxation.

It has space group Ia-3d (No. 230), with a = 13.705 Å, b = 13.705 Å, c = 13.705 Å, α = 90.00°, β = 90.00° and γ = 90.00°. Symmetry generates all atoms from Ac at (0.000, 0.250, 0.125), In at (0.000, 0.000, 0.000), In at (0.000, 0.250, 0.375) and O at (0.025, 0.057, 0.650).

The calculation puts the total energy at -6.52 eV per atom. As for the crystal system: cubic.

***

The following is a DFT calculation (PBE) of AcInO after structural relaxation.

It has space group P4/nmm (No. 129, origin choice 2), with a = 3.577 Å, b = 3.577 Å, c = 11.008 Å, α = 90.00°, β = 90.00° and γ = 90.00°. Symmetry generates all atoms from Ac at (0.250, 0.250, 0.145), In at (0.250, 0.250, 0.593) and O at (0.250, 0.250, 0.918).

The calculation puts the total energy at -5.79 eV per atom. As for the energy relative to the lowest polymorph listed for this composition: 168 meV/atom. As for the crystal system: tetragonal.

***

The following is a DFT calculation (PBE) of AcInO3 after structural relaxation.

It has space group P2_1/c (No. 14), with a = 6.647 Å, b = 5.855 Å, c = 8.012 Å, α = 90.00°, β = 97.56° and γ = 90.00°. Symmetry generates all atoms from Ac at (0.139, 0.239, 0.166), In at (0.408, 0.743, 0.067), O at (0.097, 0.677, 0.611), O at (0.294, 0.073, 0.444) and O at (0.440, 0.560, 0.328).

The calculation puts the total energy at -6.75 eV per atom. As for the crystal system: monoclinic.

***

The following is a DFT calculation (PBE) of Ac6In3O2 after structural relaxation.

It has space group I4/mmm (No. 139), with a = 5.193 Å, b = 5.193 Å, c = 27.051 Å, α = 90.00°, β = 90.00° and γ = 90.00°. Symmetry generates all atoms from Ac at (0.000, 0.000, 0.199), Ac at (0.000, 0.500, 0.085), In at (0.000, 0.000, 0.327), In at (0.000, 0.000, 0.500) and O at (0.000, 0.000, 0.104).

The calculation puts the total energy at -5.06 eV per atom. As for the crystal system: tetragonal.

***

The following is a DFT calculation (PBE) of AcInO3 after structural relaxation.

It has space group R-3c (No. 167, hexagonal axes), with a = 6.0344 Å, b = 6.0344 Å, c = 14.3461 Å, α = 90.00°, β = 90.00° and γ = 120.00°. Symmetry generates all atoms from Ac at (0.0000, 0.0000, 0.2500), In at (0.0000, 0.0000, 0.0000) and O at (0.0000, 0.4091, 0.2500).

The calculation puts the total energy at -6.80 eV per atom. As for the crystal system: trigonal.

***

The following is a DFT calculation (PBE) of Ac3In2O after structural relaxation.

It has space group C2/c (No. 15), with a = 12.959 Å, b = 7.074 Å, c = 9.149 Å, α = 90.00°, β = 101.18° and γ = 90.00°. Symmetry generates all atoms from Ac at (0.000, 0.124, 0.250), Ac at (0.138, 0.385, 0.663), In at (0.166, 0.120, 0.011) and O at (0.000, 0.457, 0.250).

The calculation puts the total energy at -4.93 eV per atom. As for the crystal system: monoclinic.

***

The following is a DFT calculation (PBE) of Ac2InOsO8 after structural relaxation.

It has space group P-1 (No. 2), with a = 4.732 Å, b = 5.289 Å, c = 7.445 Å, α = 90.86°, β = 93.82° and γ = 93.86°. Symmetry generates all atoms from Ac at (0.123, 0.009, 0.264), In at (0.500, 0.500, 0.000), Os at (0.500, 0.500, 0.500), O at (0.194, 0.291, 0.552), O at (0.229, 0.187, 0.968), O at (0.309, 0.569, 0.263) and O at (0.351, 0.786, 0.619).

The calculation puts the total energy at -7.19 eV per atom. As for the crystal system: triclinic.

***

The following is a DFT calculation (PBE) of AcInOsO6 after structural relaxation.

It has space group P312 (No. 149), with a = 5.4970 Å, b = 5.4970 Å, c = 5.2619 Å, α = 90.00°, β = 90.00° and γ = 120.00°. Symmetry generates all atoms from Ac at (0.0000, 0.0000, 0.0000), In at (0.3333, 0.6667, 0.5000), Os at (0.6667, 0.3333, 0.5000) and O at (0.3851, 0.0334, 0.7107).

The calculation puts the total energy at -7.14 eV per atom. As for the crystal system: trigonal.

***

The following is a DFT calculation (PBE) of Ac2InPO8 after structural relaxation.

It has space group P-3m1 (No. 164), with a = 5.6907 Å, b = 5.6907 Å, c = 5.8170 Å, α = 90.00°, β = 90.00° and γ = 120.00°. Symmetry generates all atoms from Ac at (0.3333, 0.6667, 0.3535), In at (0.0000, 0.0000, 0.0000), P at (0.0000, 0.0000, 0.5000), O at (0.1415, 0.2830, 0.6773) and O at (0.3333, 0.6667, 0.9919).

The calculation puts the total energy at -6.55 eV per atom. As for the crystal system: trigonal.

***

The following is a DFT calculation (PBE) of AcInPO after structural relaxation.

It has space group P4/nmm (No. 129, origin choice 2), with a = 4.591 Å, b = 4.591 Å, c = 8.586 Å, α = 90.00°, β = 90.00° and γ = 90.00°. Symmetry generates all atoms from Ac at (0.250, 0.250, 0.126), In at (0.250, 0.750, 0.500), P at (0.250, 0.250, 0.668) and O at (0.250, 0.750, 0.000).

The calculation puts the total energy at -5.85 eV per atom. As for the crystal system: tetragonal.

***

The following is a DFT calculation (PBE) of AcPaIn2O8 after structural relaxation.

It has space group I-4m2 (No. 119), with a = 7.190 Å, b = 7.190 Å, c = 7.533 Å, α = 90.00°, β = 90.00° and γ = 90.00°. Symmetry generates all atoms from Ac at (0.000, 0.000, 0.000), Pa at (0.000, 0.500, 0.750), In at (0.000, 0.000, 0.500), In at (0.000, 0.500, 0.250), O at (0.000, 0.200, 0.700) and O at (0.000, 0.332, 0.030).

The calculation puts the total energy at -7.05 eV per atom. As for the crystal system: tetragonal.

***

The following is a DFT calculation (PBE) of Ac4InPbO after structural relaxation.

It has space group Cmcm (No. 63), with a = 7.204 Å, b = 18.569 Å, c = 7.186 Å, α = 90.00°, β = 90.00° and γ = 90.00°. Symmetry generates all atoms from Ac at (0.000, 0.064, 0.250), Ac at (0.000, 0.422, 0.250), Ac at (0.250, 0.250, 0.000), In at (0.000, 0.117, 0.750), Pb at (0.000, 0.388, 0.750) and O at (0.000, 0.287, 0.250).

The calculation puts the total energy at -5.02 eV per atom. As for the crystal system: orthorhombic.

***

The following is a DFT calculation (PBE) of Ac2InPbO6 after structural relaxation.

It has space group P4mm (No. 99), with a = 5.704 Å, b = 5.704 Å, c = 5.530 Å, α = 90.00°, β = 90.00° and γ = 90.00°. Symmetry generates all atoms from Ac at (0.000, 0.500, 0.000), In at (0.000, 0.000, 0.570), Pb at (0.500, 0.500, 0.555), O at (0.000, 0.000, 0.194), O at (0.244, 0.244, 0.734) and O at (0.500, 0.500, 0.148).

The calculation puts the total energy at -6.62 eV per atom. As for the crystal system: tetragonal.

***

The following is a DFT calculation (PBE) of AcInPdO after structural relaxation.

It has space group P4/nmm (No. 129, origin choice 2), with a = 4.465 Å, b = 4.465 Å, c = 9.016 Å, α = 90.00°, β = 90.00° and γ = 90.00°. Symmetry generates all atoms from Ac at (0.250, 0.250, 0.130), In at (0.250, 0.750, 0.500), Pd at (0.250, 0.250, 0.671) and O at (0.250, 0.750, 0.000).

The calculation puts the total energy at -5.93 eV per atom. As for the crystal system: tetragonal.

***

The following is a DFT calculation (PBE) of Ac2InPdO6 after structural relaxation.

It has space group Pmmn (No. 59, origin choice 2), with a = 5.840 Å, b = 8.361 Å, c = 6.032 Å, α = 90.00°, β = 90.00° and γ = 90.00°. Symmetry generates all atoms from Ac at (0.250, 0.022, 0.220), In at (0.250, 0.250, 0.729), Pd at (0.250, 0.750, 0.765), O at (0.007, 0.250, 0.999), O at (0.019, 0.250, 0.458) and O at (0.250, 0.502, 0.789).

The calculation puts the total energy at -6.63 eV per atom. As for the crystal system: orthorhombic.

***

The following is a DFT calculation (PBE) of Ac2PmInO6 after structural relaxation.

It has space group P2_1/c (No. 14), with a = 6.019 Å, b = 6.219 Å, c = 10.516 Å, α = 90.00°, β = 124.26° and γ = 90.00°. Symmetry generates all atoms from Ac at (0.233, 0.051, 0.249), Pm at (0.500, 0.000, 0.000), In at (0.000, 0.000, 0.500), O at (0.126, 0.206, 0.936), O at (0.230, 0.695, 0.937) and O at (0.361, 0.051, 0.743).

The calculation puts the total energy at -7.44 eV per atom. As for the crystal system: monoclinic.

***

The following is a DFT calculation (PBE) of AcPr12In4O3 after structural relaxation.

It has space group Im-3m (No. 229), with a = 10.434 Å, b = 10.434 Å, c = 10.434 Å, α = 90.00°, β = 90.00° and γ = 90.00°. Symmetry generates all atoms from Ac at (0.000, 0.000, 0.000), Pr at (0.000, 0.000, 0.278), Pr at (0.000, 0.250, 0.500), In at (0.250, 0.250, 0.250) and O at (0.000, 0.000, 0.500).

The calculation puts the total energy at -5.08 eV per atom. As for the crystal system: cubic.